# 1
Crystalline MoIrCl3 at its relaxed geometry, computed with GGA-PBE.

Values from the calculation:
* magnetic moment: 4.70 μB/f.u.
* distance to the lowest polymorph of the same formula: 0.0000 eV/atom

abc: 4.8386 4.8386 4.8386
angles: 90.00 90.00 90.00
Last column: nearest neighbours and their distance in Å.
Element x y z (fractional)
Mo (0.0000, 0.0000, 0.0000)  12 Cl 3.42
Ir (0.5000, 0.5000, 0.5000)  6 Cl 2.42
Cl (0.0000, 0.5000, 0.5000)  2 Ir 2.42
Cl (0.5000, 0.0000, 0.5000)  2 Ir 2.42
Cl (0.5000, 0.5000, 0.0000)  2 Ir 2.42


# 2
Crystalline DyAlZnPd at its relaxed geometry, computed with GGA-PBE.

Values from the calculation:
* calculated total energy: -4.33 eV per atom
* magnetic moment: 0.00 μB/f.u.

abc: 4.6879 4.6879 4.6879
angles: 60.00 60.00 60.00
Last column: nearest neighbours and their distance in Å.
Element x y z (fractional)
Dy (0.0000, 0.0000, 0.0000)  4 Zn 2.87, 4 Pd 2.87
Al (0.5000, 0.5000, 0.5000)  4 Zn 2.87, 4 Pd 2.87
Zn (0.7500, 0.7500, 0.7500)  4 Dy 2.87, 4 Al 2.87
Pd (0.2500, 0.2500, 0.2500)  4 Dy 2.87, 4 Al 2.87


Question: Among the records above, which one has the highest magnetic moment?
Answer: MoIrCl3


Question: magnetic moment of number 1 (MoIrCl3)?
Answer: 4.70 μB/f.u.